1.
Computed, not measured: crystalline CdBH3 at its relaxed geometry at the GGA-PBE level of DFT.

```
CdBH3
1.0
3.3987 0.0000 0.0000
0.0000 3.3987 0.0000
0.0000 0.0000 3.3987
H B Cd
3 1 1
Cartesian
0.0000 0.0000 1.6993 H
0.0000 1.6993 0.0000 H
1.6993 0.0000 0.0000 H
0.0000 0.0000 0.0000 B
1.6993 1.6993 1.6993 Cd
```

Its calculated total energy is -2.65 eV/atom.



2.
Computed, not measured: crystalline ReAsIr2Pd at its relaxed geometry at the GGA-PBE level of DFT.

```
ReAsIr2Pd
1.0
4.8050 0.0000 0.0000
0.0000 4.6095 0.0000
0.0000 0.0000 4.8050
As Ir Re Pd
1 2 1 1
Cartesian
2.4025 2.3048 2.4025 As
2.4025 0.0000 0.0000 Ir
0.0000 0.0000 2.4025 Ir
0.0000 2.3048 0.0000 Re
0.0000 0.0000 0.0000 Pd
```

Its calculated total energy is -5.71 eV/atom. The value obtained for the energy relative to the elements is 220.8 kJ per mole of atoms.



3.
Computed, not measured: crystalline DyEr5In6 at its relaxed geometry at the GGA-PBE level of DFT.

```
DyEr5In6
1.0
5.0194 -0.0303 1.6729
0.0402 7.4430 0.0134
0.0005 -0.0151 8.3665
Er In Dy
5 6 1
Cartesian
1.6720 -0.0151 3.3504 Er
1.6968 3.7064 3.3429 Er
3.3633 3.6912 6.7099 Er
3.3880 7.4127 6.7024 Er
0.0201 3.7215 0.0067 Er
2.5397 5.5620 0.8465 In
0.8701 5.5585 5.8568 In
4.1899 1.8391 4.1959 In
0.8501 1.8543 5.8502 In
2.5198 1.8508 0.8398 In
4.2100 5.5433 4.2026 In
0.0000 0.0000 0.0000 Dy
```

Its calculated total energy is -4.10 eV/atom. The value obtained for the energy relative to the elements is -43.0 kJ per mole of atoms.



4.
Computed, not measured: crystalline PmCdPO at its relaxed geometry at the GGA-PBE level of DFT.

```
PmCdPO
1.0
-4.0114 0.9850 -0.1397
-0.7082 -2.4200 3.2746
1.5298 7.0118 5.5127
P Pm O Cd
2 2 2 2
Cartesian
-1.7107 1.8447 0.9933 P
0.8807 4.4497 6.0869 P
0.2219 1.4301 3.7129 Pm
-1.0519 4.8642 3.3672 Pm
0.7649 3.5059 2.7564 O
-1.5949 2.7884 4.3238 O
0.0000 0.0000 0.0000 Cd
-2.3598 -0.7175 1.5675 Cd
```

For the uncorrected formation energy, the calculation gives -1682 meV per atom. Its calculated total energy is -5.69 eV/atom.